--- one ---
Computed, not measured: crystalline HoThIr at its relaxed geometry at the GGA-PBE level of DFT.

Geometry as POSCAR:
```
HoThIr
1.0
6.9252 0.0000 0.0000
0.0000 6.9252 0.0000
0.0000 0.0000 6.9252
Ho Th Ir
4 4 4
direct
0.0000 0.0000 0.0000
0.0000 0.5000 0.5000
0.5000 0.0000 0.5000
0.5000 0.5000 0.0000
0.0000 0.0000 0.5000
0.0000 0.5000 0.0000
0.5000 0.0000 0.0000
0.5000 0.5000 0.5000
0.2500 0.2500 0.7500
0.2500 0.7500 0.2500
0.7500 0.2500 0.2500
0.7500 0.7500 0.7500
```

***

--- two ---
Computed, not measured: crystalline HoThIr at its relaxed geometry at the GGA-PBE level of DFT.

Geometry as POSCAR:
```
HoThIr
1.0
12.1220 0.0000 0.0000
0.0000 3.9019 0.0000
-4.5483 0.0000 6.6553
Ho Th Ir
4 4 4
direct
0.0000 0.0000 0.0000
0.0764 0.5000 0.7023
0.5000 0.5000 0.0000
0.5764 0.0000 0.7023
0.2428 0.0000 0.5550
0.3290 0.5000 0.2434
0.7428 0.5000 0.5550
0.8290 0.0000 0.2434
0.0550 0.5000 0.3126
0.2749 0.0000 0.9434
0.5550 0.0000 0.3126
0.7749 0.5000 0.9434
```

***

Going by the energies, two is most stable and the next is 0.069 eV/atom up.

***

--- one ---
Computed, not measured: crystalline HoThIr2 at its relaxed geometry at the GGA-PBE level of DFT.

Geometry as POSCAR:
```
HoThIr2
1.0
4.0676 0.0000 0.0000
-2.0338 3.5227 0.0000
0.0000 0.0000 19.7894
Ho Th Ir
3 3 6
direct
0.0000 0.0000 0.0000
0.3333 0.6667 0.6667
0.6667 0.3333 0.3333
0.0000 0.0000 0.5000
0.3333 0.6667 0.1667
0.6667 0.3333 0.8333
0.0000 0.0000 0.2512
0.0000 0.0000 0.7488
0.3333 0.6667 0.4154
0.3333 0.6667 0.9179
0.6667 0.3333 0.0821
0.6667 0.3333 0.5846
```

***

--- two ---
Computed, not measured: crystalline HoThIr2 at its relaxed geometry at the GGA-PBE level of DFT.

Geometry as POSCAR:
```
HoThIr2
1.0
4.9483 0.0000 0.0000
0.0000 4.9483 0.0000
0.0000 0.0000 3.5172
Ho Th Ir
1 1 2
direct
0.0000 0.0000 0.0000
0.5000 0.5000 0.0000
0.0000 0.5000 0.5000
0.5000 0.0000 0.5000
```

***

Going by the energies, two is most stable and the next is 0.058 eV/atom up.

***

--- one ---
Computed, not measured: crystalline HoThIr2 at its relaxed geometry at the GGA-PBE level of DFT.

Geometry as POSCAR:
```
HoThIr2
1.0
7.0198 0.0000 0.0000
0.0000 7.0198 0.0000
0.0000 0.0000 7.0198
Ho Th Ir
4 4 8
direct
0.0000 0.0000 0.0000
0.0000 0.5000 0.5000
0.5000 0.0000 0.5000
0.5000 0.5000 0.0000
0.0000 0.0000 0.5000
0.0000 0.5000 0.0000
0.5000 0.0000 0.0000
0.5000 0.5000 0.5000
0.2500 0.2500 0.2500
0.2500 0.2500 0.7500
0.2500 0.7500 0.2500
0.2500 0.7500 0.7500
0.7500 0.2500 0.2500
0.7500 0.2500 0.7500
0.7500 0.7500 0.2500
0.7500 0.7500 0.7500
```

***

--- two ---
Computed, not measured: crystalline HoThIr2 at its relaxed geometry at the GGA-PBE level of DFT.

Geometry as POSCAR:
```
HoThIr2
1.0
4.2510 0.0000 0.0000
0.0000 3.8858 0.0000
0.0000 0.0000 10.8112
Ho Th Ir
2 2 4
direct
0.0000 0.0000 0.0000
0.0000 0.5000 0.5000
0.5000 0.0000 0.7183
0.5000 0.5000 0.2183
0.0000 0.0000 0.2710
0.0000 0.5000 0.7710
0.5000 0.0000 0.4516
0.5000 0.5000 0.9516
```

***

Going by the energies, two is most stable and the next is 0.123 eV/atom up.